# 1
VASP calculation (PBE-GGA) on MgAs2Br after structural relaxation.

abc: 5.1288 3.8424 5.3325
angles: 69.42 90.00 90.00
Last column: nearest neighbours and their distance in Å.
Positions (direct):
1 As 0.0000 0.9277 0.9129  2 As 2.48-2.56
2 Mg 0.5000 0.7500 0.7500  2 Br 2.68, 4 As 2.87
3 As 0.0000 0.5723 0.5871  2 As 2.48-2.56
4 Br 0.5000 0.2500 0.2500  2 Mg 2.68

- energy above the most stable polymorph in this dataset (eV/atom) = 0.129

# 2
VASP calculation (PBE-GGA) on MgAs2Br after structural relaxation.

abc: 3.7861 3.7857 6.4166
angles: 90.00 90.00 90.00
Last column: nearest neighbours and their distance in Å.
Positions (direct):
1 As 0.0000 0.0000 0.0000  4 As 2.68
2 Br 0.5000 0.0000 0.5000  4 Mg 2.68
3 As 0.5000 0.5000 0.0000  4 As 2.68
4 Mg 0.0000 0.5000 0.5000  4 Br 2.68

- energy above the most stable polymorph in this dataset (eV/atom) = 0.346

# 3
VASP calculation (PBE-GGA) on MgAsBr2 after structural relaxation.

abc: 5.1854 5.1854 5.1048
angles: 66.14 66.14 101.67
Last column: nearest neighbours and their distance in Å.
Positions (direct):
1 Br 0.5000 0.5000 0.0000  2 Mg 2.81, 2 As 2.81
2 Mg 0.5000 0.0000 0.5000  4 Br 2.81
3 Br 0.0000 0.0000 0.0000  2 As 2.81, 2 Mg 2.81
4 As 0.0000 0.5000 0.5000  4 Br 2.81

- energy above the most stable polymorph in this dataset (eV/atom) = 0.256

# 4
VASP calculation (PBE-GGA) on MgAs2Br after structural relaxation.

abc: 4.9413 4.9413 4.9413
angles: 120.05 120.05 89.91
Last column: nearest neighbours and their distance in Å.
Positions (direct):
1 As 0.2500 0.7500 0.5000  4 As 3.03, 4 Br 3.03
2 Mg 0.7500 0.2500 0.5000  4 As 3.03, 4 Br 3.03
3 As 0.0000 0.0000 0.0000  4 As 3.03, 4 Mg 3.03
4 Br 0.5000 0.5000 0.0000  4 Mg 3.03, 4 As 3.03

- energy above the most stable polymorph in this dataset (eV/atom) = 0.560

# 5
VASP calculation (PBE-GGA) on MgAsBr2 after structural relaxation.

abc: 9.8357 9.8357 9.8357
angles: 20.75 20.75 20.75
Last column: nearest neighbours and their distance in Å.
Positions (direct):
1 Mg 0.0000 0.0000 0.0000  2 Br 2.57
2 Br 0.0892 0.0892 0.0892  1 Mg 2.57
3 Br 0.9108 0.9108 0.9108  1 Mg 2.57
4 As 0.5000 0.5000 0.5000  6 Br 3.03

- energy above the most stable polymorph in this dataset (eV/atom) = 0.613

# 6
VASP calculation (PBE-GGA) on Mg2AsBr after structural relaxation.

abc: 3.7684 3.7684 7.5516
angles: 90.00 90.00 113.94
Last column: nearest neighbours and their distance in Å.
Positions (direct):
1 Br 0.5000 0.5000 0.7500  4 Mg 3.00
2 Mg 0.0000 0.0000 0.4597  2 As 2.59
3 Mg 0.0000 0.0000 0.0403  2 As 2.59
4 As 0.5000 0.5000 0.2500  4 Mg 2.59

- energy above the most stable polymorph in this dataset (eV/atom) = 0.352

# 7
VASP calculation (PBE-GGA) on MgAsBr2 after structural relaxation.

abc: 7.5008 7.5008 5.0544
angles: 82.03 82.03 26.21
Last column: nearest neighbours and their distance in Å.
Positions (direct):
1 Br 0.6124 0.6124 0.4505  1 As 2.68, 2 Mg 2.72
2 Mg 0.2500 0.2500 0.2500  4 Br 2.72
3 Br 0.8876 0.8876 0.0495  1 As 2.68, 2 Mg 2.72
4 As 0.7500 0.7500 0.7500  2 Br 2.68

- energy above the most stable polymorph in this dataset (eV/atom) = 0.025

# 8
VASP calculation (PBE-GGA) on MgAsBr2 after structural relaxation.

abc: 5.1035 5.1035 5.1035
angles: 60.00 60.00 60.00
Last column: nearest neighbours and their distance in Å.
Positions (direct):
1 Br 0.7500 0.7500 0.7500  4 As 3.13, 4 Mg 3.13
2 As 0.5000 0.5000 0.5000  8 Br 3.13
3 Mg 0.0000 0.0000 0.0000  8 Br 3.13
4 Br 0.2500 0.2500 0.2500  4 As 3.13, 4 Mg 3.13

- energy above the most stable polymorph in this dataset (eV/atom) = 0.624

# 9
VASP calculation (PBE-GGA) on MgAs2Br after structural relaxation.

abc: 3.9815 3.9815 12.2246
angles: 80.63 80.63 90.00
Last column: nearest neighbours and their distance in Å.
Positions (direct):
1 Br 0.0000 0.0000 0.0000  4 Mg 2.82
2 As 0.1878 0.6250 0.2500  2 As 2.49
3 Mg 0.2500 0.7500 0.5000  4 Br 2.82
4 As 0.8750 0.8122 0.7500  2 As 2.49
5 As 0.3750 0.4378 0.7500  2 As 2.49
6 Br 0.7500 0.2500 0.5000  4 Mg 2.82
7 As 0.5622 0.1250 0.2500  2 As 2.49
8 Mg 0.5000 0.5000 0.0000  4 Br 2.82

- energy above the most stable polymorph in this dataset (eV/atom) = 0.200

# 10
VASP calculation (PBE-GGA) on MgAs2Br after structural relaxation.

abc: 9.6280 9.6280 9.6280
angles: 19.38 19.38 19.38
Last column: nearest neighbours and their distance in Å.
Positions (direct):
1 Br 0.2500 0.2500 0.2500  6 As 3.17, 6 Br 3.24
2 As 0.4931 0.4931 0.4931  3 Mg 2.86, 3 Br 3.17
3 As 0.0069 0.0069 0.0069  3 Mg 2.86, 3 Br 3.17
4 Mg 0.7500 0.7500 0.7500  6 As 2.86

- energy above the most stable polymorph in this dataset (eV/atom) = 0.731

# 11
VASP calculation (PBE-GGA) on MgAs2Br after structural relaxation.

abc: 3.6582 3.6582 9.2879
angles: 90.00 90.00 119.38
Last column: nearest neighbours and their distance in Å.
Positions (direct):
1 As 0.5000 0.5000 0.1659  2 As 2.48
2 Mg 0.5000 0.5000 0.7673  2 Br 2.54, 2 As 2.76
3 Br 0.0000 0.0000 0.5792  2 Mg 2.54
4 As 0.0000 0.0000 0.9876  2 As 2.48, 2 Mg 2.76

- energy above the most stable polymorph in this dataset (eV/atom) = 0.265

# 12
VASP calculation (PBE-GGA) on MgAsBr4 after structural relaxation.

abc: 6.2958 6.2958 6.2958
angles: 60.00 60.00 60.00
Last column: nearest neighbours and their distance in Å.
Positions (direct):
1 Br 0.3759 0.3759 0.8724  6 Br 3.13-3.17
2 Br 0.3759 0.3759 0.3759  6 Br 3.13-3.17
3 Br 0.8724 0.3759 0.3759  6 Br 3.13-3.17
4 As 0.0000 0.0000 0.0000  12 Br 3.69, 4 Mg 3.86
5 Br 0.3759 0.8724 0.3759  6 Br 3.13-3.17
6 Mg 0.7500 0.7500 0.7500  12 Br 3.69, 4 As 3.86

- electronic total energy (eV/f.u.) = -9.18

# 13
VASP calculation (PBE-GGA) on MgAsBr2 after structural relaxation.

abc: 3.2791 3.2791 12.1517
angles: 90.00 90.00 90.00
Last column: nearest neighbours and their distance in Å.
Positions (direct):
1 Br 0.0000 0.0000 0.3856  4 Mg 2.84
2 Mg 0.5000 0.5000 0.2500  8 Br 2.84
3 As 0.5000 0.5000 0.7500  4 As 3.28
4 Br 0.0000 0.0000 0.1144  4 Mg 2.84

- energy above the most stable polymorph in this dataset (eV/atom) = 0.254

# 14
VASP calculation (PBE-GGA) on MgAsBr2 after structural relaxation.

abc: 10.1824 10.1824 7.6624
angles: 48.36 48.36 90.00
Last column: nearest neighbours and their distance in Å.
Positions (direct):
1 Mg 0.5000 0.5000 0.0000  2 As 2.62, 4 Br 2.66
2 Br 0.3750 0.5853 0.7500  2 Mg 2.66
3 Br 0.3353 0.6250 0.2500  2 Mg 2.66
4 As 0.0000 0.0000 0.0000  2 Mg 2.62
5 Mg 0.2500 0.7500 0.5000  2 As 2.62, 4 Br 2.66
6 Br 0.4147 0.1250 0.2500  2 Mg 2.66
7 As 0.7500 0.2500 0.5000  2 Mg 2.62
8 Br 0.8750 0.6647 0.7500  2 Mg 2.66

- energy above the most stable polymorph in this dataset (eV/atom) = 0.267

# 15
VASP calculation (PBE-GGA) on Mg2AsBr after structural relaxation.

abc: 6.9855 6.9855 6.9855
angles: 147.82 147.82 46.15
Last column: nearest neighbours and their distance in Å.
Positions (direct):
1 Mg 0.0000 0.0000 0.0000  4 As 2.74
2 Mg 0.2500 0.7500 0.5000  4 Br 2.74
3 Br 0.7500 0.2500 0.5000  4 Mg 2.74
4 As 0.5000 0.5000 0.0000  4 Mg 2.74

- energy above the most stable polymorph in this dataset (eV/atom) = 0.522

# 16
VASP calculation (PBE-GGA) on MgAsBr2 after structural relaxation.

abc: 4.8471 4.8471 3.9962
angles: 90.00 90.00 90.20
Last column: nearest neighbours and their distance in Å.
Positions (direct):
1 Mg 0.5000 0.0000 0.5000  8 Br 3.14, 4 As 3.42-3.43
2 Br 0.5000 0.5000 0.0000  4 Mg 3.14, 4 As 3.14, 4 Br 3.42-3.43
3 As 0.0000 0.5000 0.5000  8 Br 3.14, 4 Mg 3.42-3.43
4 Br 0.0000 0.0000 0.0000  4 As 3.14, 4 Mg 3.14, 4 Br 3.42-3.43

- energy above the most stable polymorph in this dataset (eV/atom) = 0.574

# 17
VASP calculation (PBE-GGA) on Mg2AsBr after structural relaxation.

abc: 6.9118 5.3943 3.7351
angles: 70.27 89.23 129.50
Last column: nearest neighbours and their distance in Å.
Positions (direct):
1 Mg 0.0000 0.0000 0.0000  2 Br 2.71, 2 As 2.71
2 As 0.0000 0.5000 0.5000  4 Mg 2.71
3 Br 0.5000 0.5000 0.0000  4 Mg 2.71
4 Mg 0.5000 0.0000 0.5000  2 As 2.71, 2 Br 2.71

- energy above the most stable polymorph in this dataset (eV/atom) = 0.342

# 18
VASP calculation (PBE-GGA) on MgAs2Br after structural relaxation.

abc: 5.9730 5.9730 5.9730
angles: 144.61 101.38 89.29
Last column: nearest neighbours and their distance in Å.
Positions (direct):
1 As 0.8097 0.3097 0.5000  2 As 2.41
2 Mg 0.2441 0.7441 0.5000  2 Br 2.52, 2 As 2.78
3 As 0.9958 0.9958 0.0000  2 As 2.41
4 Br 0.4504 0.4504 0.0000  2 Mg 2.52

- energy above the most stable polymorph in this dataset (eV/atom) = 0.250

# 19
VASP calculation (PBE-GGA) on MgAsBr2 after structural relaxation.

abc: 3.4605 4.2059 8.7097
angles: 90.00 90.00 90.00
Last column: nearest neighbours and their distance in Å.
Positions (direct):
1 Br 0.5000 0.5000 0.3124  1 As 2.34
2 Br 0.0000 0.0000 0.9426  1 Mg 2.43
3 Mg 0.0000 0.0000 0.6638  1 Br 2.43
4 As 0.5000 0.5000 0.5813  1 Br 2.34

- energy above the most stable polymorph in this dataset (eV/atom) = 0.078

# 20
VASP calculation (PBE-GGA) on MgAs2Br after structural relaxation.

abc: 3.7867 5.2444 5.2447
angles: 68.30 90.00 90.00
Last column: nearest neighbours and their distance in Å.
Positions (direct):
1 As 0.0000 0.0190 0.0197  2 As 2.50
2 Mg 0.5000 0.7446 0.7436  2 Br 2.66, 2 As 2.96
3 As 0.5000 0.2083 0.2079  2 As 2.50
4 Br 0.0000 0.5281 0.5289  2 Mg 2.66, 2 As 2.94-2.95

- energy above the most stable polymorph in this dataset (eV/atom) = 0.182